Material: TbCrF5
Method: DFT, PBE+U
State: optimized geometry

abc: 5.7469 10.6234 8.5772
angles: 90.00 105.56 90.00
Space group P2_1/c (No. 14)
One atom of each set of equivalent atoms:
1 Tb 0.0737 0.2412 0.3588 x4
2 Cr 0.4946 0.5031 0.7056 x4
3 F 0.1152 0.2034 0.6173 x4
4 F 0.2068 0.6023 0.2327 x4
5 F 0.2120 0.6199 0.6578 x4
6 F 0.3482 0.0992 0.3512 x4
7 F 0.3535 0.1077 0.9421 x4

Summary:
E_tot ... -6.5054 eV/atom
Size of the total moment ... 4.00 μB per formula unit
Crystal system ... monoclinic